[1]
This record from Alexandria via LeMat-Bulk describes crystalline BaInGe3 at its relaxed geometry. The functional is PBE.

Cell: 5.849 5.849 5.849 Å, 90.00 90.00 90.00°
Sites, in units of the cell vectors:
Ba: 0.000 0.000 0.000
In: 0.500 0.500 0.500
Ge: 0.000 0.000 0.500
Ge: 0.000 0.500 0.000
Ge: 0.500 0.000 0.000

- E above lowest polymorph (meV/atom) = 909
- ρ (g cm⁻³) = 3.90
- total moment (μB per formula unit) = 0.000
- formation energy from the elements (eV per atom) = 1.122

***

[2]
This record from Alexandria via LeMat-Bulk describes crystalline Ba2In7Ge at its relaxed geometry. The functional is PBE.

Cell: 5.120 5.120 11.698 Å, 90.00 90.00 90.00°
Sites, in units of the cell vectors:
Ba: 0.000 0.500 0.240
Ba: 0.500 0.000 0.760
In: 0.000 0.000 0.000
In: 0.000 0.000 0.500
In: 0.000 0.500 0.635
In: 0.000 0.500 0.880
In: 0.500 0.000 0.120
In: 0.500 0.000 0.365
In: 0.500 0.500 0.500
Ge: 0.500 0.500 0.000

- ρ (g cm⁻³) = 6.23
- total moment (μB per formula unit) = 0.000
- formation energy from the elements (eV per atom) = -0.326

***

[3]
This record from Alexandria via LeMat-Bulk describes crystalline Ba2InGe3 at its relaxed geometry. The functional is PBE.

Cell: 9.338 9.175 6.827 Å, 69.63 67.10 43.27°
Sites, in units of the cell vectors:
Ba: 0.243 0.757 0.243
Ba: 0.250 0.250 0.250
Ba: 0.750 0.750 0.750
Ba: 0.757 0.243 0.757
In: 0.335 0.335 0.665
In: 0.665 0.665 0.335
Ge: 0.161 0.161 0.839
Ge: 0.163 0.675 0.837
Ge: 0.325 0.837 0.675
Ge: 0.675 0.163 0.325
Ge: 0.837 0.325 0.163
Ge: 0.839 0.839 0.161

- E above lowest polymorph (meV/atom) = 10
- ρ (g cm⁻³) = 5.49
- total moment (μB per formula unit) = 0.000
- formation energy from the elements (eV per atom) = -0.450

***

[4]
This record from Alexandria via LeMat-Bulk describes crystalline Ba4InGe at its relaxed geometry. The functional is PBE.

Cell: 9.484 9.484 7.563 Å, 105.54 105.54 111.46°
Sites, in units of the cell vectors:
Ba: 0.054 0.715 0.927
Ba: 0.226 0.351 0.700
Ba: 0.285 0.946 0.573
Ba: 0.351 0.226 0.200
Ba: 0.649 0.774 0.800
Ba: 0.715 0.054 0.427
Ba: 0.774 0.649 0.300
Ba: 0.946 0.285 0.073
In: 0.367 0.633 0.250
In: 0.633 0.367 0.750
Ge: 0.002 0.998 0.750
Ge: 0.998 0.002 0.250

- ρ (g cm⁻³) = 4.39
- total moment (μB per formula unit) = 0.003
- formation energy from the elements (eV per atom) = -0.342

***

> What is the formula in the third record?

Ba2InGe3